The following is a PBE calculation of a geometry-optimized Nb3Ge structure, from the Alexandria database.

final energy = -33.93 eV per formula unit
space group = No. 25
mass density = 7.773 g cm⁻³
offset from the most stable computed form = 566 meV per atom
total magnetic moment = 0.00 μB per formula unit
formation enthalpy at 0 K = 0.22 eV per atom

Cell: 3.283 2.737 8.354 Å, 90.00 90.00 90.00°
Atoms (fractional coordinates):
Ge (0.000, 0.000, 0.973)
Nb (0.000, 0.500, 0.466)
Nb (0.500, 0.000, 0.720)
Nb (0.500, 0.500, 0.175)

=====

The following is a PBE calculation of a geometry-optimized Nb5Ge2 structure, from the Alexandria database.

final energy = -61.15 eV per formula unit
space group = No. 15
mass density = 8.033 g cm⁻³
total magnetic moment = 0.00 μB per formula unit
formation enthalpy at 0 K = -0.22 eV per atom

Cell: 5.255 6.654 7.690 Å, 93.73 109.98 90.00°
Atoms (fractional coordinates):
Nb (0.855, 0.286, 0.461)
Nb (0.394, 0.214, 0.539)
Nb (0.145, 0.714, 0.539)
Nb (0.606, 0.786, 0.461)
Nb (0.345, 0.750, 0.000)
Nb (0.770, 0.566, 0.810)
Nb (0.655, 0.250, 0.000)
Nb (0.230, 0.434, 0.190)
Nb (0.040, 0.066, 0.810)
Nb (0.960, 0.934, 0.190)
Ge (0.550, 0.929, 0.781)
Ge (0.769, 0.571, 0.219)
Ge (0.450, 0.071, 0.219)
Ge (0.231, 0.429, 0.781)

=====

The following is a PBE calculation of a geometry-optimized Nb3Ge structure, from the Alexandria database.

final energy = -36.10 eV per formula unit
space group = No. 82
mass density = 8.212 g cm⁻³
offset from the most stable computed form = 23 meV per atom
total magnetic moment = 0.00 μB per formula unit
formation enthalpy at 0 K = -0.32 eV per atom

Cell: 5.233 7.820 7.820 Å, 83.57 70.45 70.45°
Atoms (fractional coordinates):
Nb (0.128, 0.365, 0.343)
Nb (0.507, 0.657, 0.365)
Nb (0.529, 0.343, 0.635)
Nb (0.651, 0.177, 0.986)
Nb (0.457, 0.589, 0.020)
Nb (0.066, 0.411, 0.980)
Nb (0.814, 0.823, 0.014)
Nb (0.836, 0.635, 0.657)
Nb (0.524, 0.020, 0.411)
Nb (0.954, 0.980, 0.589)
Nb (0.363, 0.986, 0.823)
Nb (0.172, 0.014, 0.177)
Ge (0.996, 0.731, 0.313)
Ge (0.272, 0.687, 0.731)
Ge (0.690, 0.313, 0.269)
Ge (0.041, 0.269, 0.687)

=====

The following is a PBE calculation of a geometry-optimized NbGe structure, from the Alexandria database.

final energy = -14.91 eV per formula unit
space group = No. 12
mass density = 7.922 g cm⁻³
total magnetic moment = 0.00 μB per formula unit
formation enthalpy at 0 K = -0.11 eV per atom

Cell: 4.681 3.297 4.772 Å, 90.00 109.55 90.00°
Atoms (fractional coordinates):
Nb (0.500, 0.500, 0.000)
Nb (0.500, 0.000, 0.500)
Ge (0.000, 0.500, 0.500)
Ge (0.000, 0.000, 0.000)

=====

The following is a PBE calculation of a geometry-optimized NbGe structure, from the Alexandria database.

final energy = -15.43 eV per formula unit
space group = No. 19
mass density = 7.998 g cm⁻³
total magnetic moment = 0.00 μB per formula unit
formation enthalpy at 0 K = -0.37 eV per atom

Cell: 5.666 5.129 9.461 Å, 90.00 90.00 90.00°
Atoms (fractional coordinates):
Nb (0.854, 0.646, 0.971)
Nb (0.133, 0.617, 0.297)
Nb (0.867, 0.117, 0.203)
Nb (0.646, 0.354, 0.471)
Nb (0.146, 0.146, 0.529)
Nb (0.633, 0.883, 0.703)
Nb (0.367, 0.383, 0.797)
Nb (0.354, 0.854, 0.029)
Ge (0.287, 0.648, 0.555)
Ge (0.363, 0.092, 0.283)
Ge (0.213, 0.352, 0.055)
Ge (0.637, 0.592, 0.217)
Ge (0.137, 0.908, 0.783)
Ge (0.787, 0.852, 0.445)
Ge (0.713, 0.148, 0.945)
Ge (0.863, 0.408, 0.717)

=====

The following is a PBE calculation of a geometry-optimized NbGe structure, from the Alexandria database.

final energy = -15.35 eV per formula unit
space group = No. 71
mass density = 7.679 g cm⁻³
total magnetic moment = 0.00 μB per formula unit
formation enthalpy at 0 K = -0.33 eV per atom

Cell: 3.401 5.268 7.992 Å, 90.00 90.00 90.00°
Atoms (fractional coordinates):
Ge (0.000, 0.238, 0.500)
Ge (0.500, 0.738, 0.000)
Ge (0.500, 0.262, 0.000)
Ge (0.000, 0.762, 0.500)
Nb (0.500, 0.500, 0.303)
Nb (0.500, 0.500, 0.697)
Nb (0.000, 0.000, 0.197)
Nb (0.000, 0.000, 0.803)

=====

The following is a PBE calculation of a geometry-optimized NbGe structure, from the Alexandria database.

final energy = -14.61 eV per formula unit
space group = No. 87
mass density = 6.768 g cm⁻³
total magnetic moment = 0.00 μB per formula unit
formation enthalpy at 0 K = 0.04 eV per atom

Cell: 7.975 7.975 5.109 Å, 90.00 90.00 90.00°
Atoms (fractional coordinates):
Ge (0.254, 0.092, 0.500)
Ge (0.908, 0.254, 0.500)
Ge (0.754, 0.592, 0.000)
Ge (0.092, 0.746, 0.500)
Ge (0.408, 0.754, 0.000)
Ge (0.746, 0.908, 0.500)
Ge (0.246, 0.408, 0.000)
Ge (0.592, 0.246, 0.000)
Nb (0.683, 0.904, 0.000)
Nb (0.904, 0.317, 0.000)
Nb (0.817, 0.596, 0.500)
Nb (0.317, 0.096, 0.000)
Nb (0.096, 0.683, 0.000)
Nb (0.596, 0.183, 0.500)
Nb (0.404, 0.817, 0.500)
Nb (0.183, 0.404, 0.500)

=====

The following is a PBE calculation of a geometry-optimized Nb10Ge7 structure, from the Alexandria database.

final energy = -141.13 eV per formula unit
space group = No. 162
mass density = 8.239 g cm⁻³
total magnetic moment = 0.00 μB per formula unit
formation enthalpy at 0 K = -0.48 eV per atom

Cell: 7.851 7.851 5.428 Å, 90.00 90.00 120.00°
Atoms (fractional coordinates):
Ge (0.609, 0.000, 0.747)
Ge (0.609, 0.609, 0.253)
Ge (0.000, 0.000, 0.500)
Ge (0.391, 0.391, 0.747)
Ge (0.391, 0.000, 0.253)
Ge (0.000, 0.391, 0.253)
Ge (0.000, 0.609, 0.747)
Nb (0.263, 0.000, 0.772)
Nb (0.333, 0.667, 0.000)
Nb (0.000, 0.737, 0.228)
Nb (0.667, 0.333, 0.500)
Nb (0.737, 0.000, 0.228)
Nb (0.263, 0.263, 0.228)
Nb (0.667, 0.333, 0.000)
Nb (0.000, 0.263, 0.772)
Nb (0.333, 0.667, 0.500)
Nb (0.737, 0.737, 0.772)

=====

The following is a PBE calculation of a geometry-optimized NbGe structure, from the Alexandria database.

final energy = -12.82 eV per formula unit
space group = No. 223
mass density = 4.396 g cm⁻³
total magnetic moment = 0.83 μB per formula unit
formation enthalpy at 0 K = 0.94 eV per atom

Cell: 7.213 7.213 7.213 Å, 90.00 90.00 90.00°
Each line ends with the local moment (μB).
Atoms (fractional coordinates):
Nb (0.500, 0.750, 0.000)  0.74
Nb (0.250, 0.000, 0.500)  0.74
Nb (0.000, 0.500, 0.750)  0.74
Nb (0.500, 0.250, 0.000)  0.74
Nb (0.750, 0.000, 0.500)  0.74
Nb (0.000, 0.500, 0.250)  0.74
Ge (0.000, 0.250, 0.500)  -0.03
Ge (0.750, 0.500, 0.000)  -0.03
Ge (0.000, 0.750, 0.500)  -0.03
Ge (0.500, 0.000, 0.250)  -0.03
Ge (0.250, 0.500, 0.000)  -0.03
Ge (0.500, 0.000, 0.750)  -0.03

=====

The following is a PBE calculation of a geometry-optimized NbGe4 structure, from the Alexandria database.

final energy = -25.44 eV per formula unit
space group = No. 221
mass density = 5.029 g cm⁻³
total magnetic moment = 0.00 μB per formula unit
formation enthalpy at 0 K = 0.62 eV per atom

Cell: 5.021 5.021 5.021 Å, 90.00 90.00 90.00°
Atoms (fractional coordinates):
Ge (0.500, 0.500, 0.000)
Ge (0.000, 0.500, 0.500)
Ge (0.000, 0.000, 0.000)
Ge (0.500, 0.000, 0.500)
Nb (0.500, 0.500, 0.500)

=====

The following is a PBE calculation of a geometry-optimized Nb3Ge structure, from the Alexandria database.

final energy = -35.54 eV per formula unit
space group = No. 140
mass density = 8.174 g cm⁻³
offset from the most stable computed form = 162 meV per atom
total magnetic moment = 0.00 μB per formula unit
formation enthalpy at 0 K = -0.18 eV per atom

Cell: 7.794 7.794 7.794 Å, 96.69 96.69 140.09°
Atoms (fractional coordinates):
Nb (0.250, 0.250, 0.000)
Nb (0.771, 0.919, 0.690)
Nb (0.419, 0.271, 0.690)
Nb (0.750, 0.750, 0.000)
Nb (0.750, 0.250, 0.500)
Nb (0.081, 0.771, 0.852)
Nb (0.229, 0.081, 0.310)
Nb (0.729, 0.419, 0.148)
Nb (0.250, 0.750, 0.500)
Nb (0.271, 0.581, 0.852)
Nb (0.919, 0.229, 0.148)
Nb (0.581, 0.729, 0.310)
Ge (0.661, 0.161, 0.823)
Ge (0.161, 0.339, 0.500)
Ge (0.339, 0.839, 0.177)
Ge (0.839, 0.661, 0.500)

=====

The following is a PBE calculation of a geometry-optimized Nb3Ge structure, from the Alexandria database.

final energy = -35.62 eV per formula unit
space group = No. 71
mass density = 8.297 g cm⁻³
offset from the most stable computed form = 143 meV per atom
total magnetic moment = 0.00 μB per formula unit
formation enthalpy at 0 K = -0.20 eV per atom

Cell: 3.482 4.470 5.332 Å, 114.78 109.06 90.00°
Atoms (fractional coordinates):
Nb (0.242, 0.659, 0.485)
Nb (0.500, 0.417, 0.000)
Nb (0.758, 0.174, 0.515)
Ge (0.000, 0.917, 0.000)

=====

The following is a PBE calculation of a geometry-optimized Nb3Ge structure, from the Alexandria database.

final energy = -35.63 eV per formula unit
space group = No. 221
mass density = 8.378 g cm⁻³
offset from the most stable computed form = 141 meV per atom
total magnetic moment = 0.00 μB per formula unit
formation enthalpy at 0 K = -0.20 eV per atom

Cell: 4.114 4.114 4.114 Å, 90.00 90.00 90.00°
Atoms (fractional coordinates):
Nb (0.500, 0.500, 0.000)
Nb (0.500, 0.000, 0.500)
Nb (0.000, 0.500, 0.500)
Ge (0.000, 0.000, 0.000)

=====

The following is a PBE calculation of a geometry-optimized NbGe structure, from the Alexandria database.

final energy = -15.12 eV per formula unit
space group = No. 2
mass density = 8.095 g cm⁻³
total magnetic moment = 0.00 μB per formula unit
formation enthalpy at 0 K = -0.22 eV per atom

Cell: 2.980 4.761 5.156 Å, 76.73 73.19 90.52°
Atoms (fractional coordinates):
Ge (0.132, 0.316, 0.237)
Ge (0.868, 0.684, 0.763)
Nb (0.387, 0.192, 0.724)
Nb (0.613, 0.808, 0.276)

=====

The following is a PBE calculation of a geometry-optimized Nb3Ge2 structure, from the Alexandria database.

final energy = -41.34 eV per formula unit
space group = No. 62
mass density = 7.889 g cm⁻³
total magnetic moment = 0.00 μB per formula unit
formation enthalpy at 0 K = -0.38 eV per atom

Cell: 3.560 9.718 10.320 Å, 90.00 90.00 90.00°
Atoms (fractional coordinates):
Nb (0.250, 0.886, 0.041)
Nb (0.750, 0.712, 0.297)
Nb (0.250, 0.578, 0.878)
Nb (0.750, 0.114, 0.959)
Nb (0.750, 0.788, 0.797)
Nb (0.250, 0.212, 0.203)
Nb (0.250, 0.288, 0.703)
Nb (0.750, 0.386, 0.459)
Nb (0.750, 0.078, 0.622)
Nb (0.250, 0.614, 0.541)
Nb (0.250, 0.922, 0.378)
Nb (0.750, 0.422, 0.122)
Ge (0.250, 0.504, 0.297)
Ge (0.750, 0.004, 0.203)
Ge (0.750, 0.679, 0.043)
Ge (0.250, 0.321, 0.957)
Ge (0.250, 0.996, 0.797)
Ge (0.250, 0.179, 0.457)
Ge (0.750, 0.496, 0.703)
Ge (0.750, 0.821, 0.543)

=====

The following is a PBE calculation of a geometry-optimized NbGe structure, from the Alexandria database.

final energy = -15.22 eV per formula unit
space group = No. 38
mass density = 7.957 g cm⁻³
total magnetic moment = 0.00 μB per formula unit
formation enthalpy at 0 K = -0.27 eV per atom

Cell: 3.021 4.152 3.021 Å, 90.00 114.28 90.00°
Atoms (fractional coordinates):
Nb (0.793, 0.500, 0.872)
Ge (0.148, 0.000, 0.516)

=====

The following is a PBE calculation of a geometry-optimized NdNb3Ge2 structure, from the Alexandria database.

final energy = -46.79 eV per formula unit
space group = No. 12
mass density = 7.546 g cm⁻³
total magnetic moment = 0.00 μB per formula unit
formation enthalpy at 0 K = -0.43 eV per atom

Cell: 4.396 7.726 8.640 Å, 116.05 90.00 106.53°
Atoms (fractional coordinates):
Nb (0.316, 0.631, 0.531)
Nb (0.424, 0.847, 0.337)
Nb (0.951, 0.901, 0.630)
Nb (0.049, 0.099, 0.370)
Nb (0.576, 0.153, 0.663)
Nb (0.684, 0.369, 0.469)
Nd (0.852, 0.703, 0.938)
Nd (0.148, 0.297, 0.062)
Ge (0.522, 0.045, 0.155)
Ge (0.193, 0.387, 0.711)
Ge (0.807, 0.613, 0.289)
Ge (0.478, 0.955, 0.845)

=====

The following is a PBE calculation of a geometry-optimized Nd3Nb2Ge4 structure, from the Alexandria database.

final energy = -58.25 eV per formula unit
space group = No. 12
mass density = 7.229 g cm⁻³
total magnetic moment = 0.00 μB per formula unit
formation enthalpy at 0 K = -0.59 eV per atom

Cell: 4.080 6.614 8.772 Å, 110.86 90.00 107.97°
Atoms (fractional coordinates):
Nb (0.302, 0.604, 0.626)
Nb (0.698, 0.396, 0.374)
Ge (0.923, 0.847, 0.593)
Ge (0.707, 0.415, 0.070)
Ge (0.293, 0.585, 0.930)
Ge (0.077, 0.153, 0.407)
Nd (0.385, 0.770, 0.298)
Nd (0.000, 0.000, 0.000)
Nd (0.615, 0.230, 0.702)

=====

The following is a PBE calculation of a geometry-optimized NdNbGe2 structure, from the Alexandria database.

final energy = -26.05 eV per formula unit
space group = No. 166
mass density = 7.129 g cm⁻³
total magnetic moment = 0.00 μB per formula unit
formation enthalpy at 0 K = -0.49 eV per atom

Cell: 3.952 3.952 6.970 Å, 73.53 73.53 60.00°
Atoms (fractional coordinates):
Ge (0.737, 0.737, 0.788)
Ge (0.263, 0.263, 0.212)
Nd (0.500, 0.500, 0.500)
Nb (0.000, 0.000, 0.000)

=====

The following is a PBE calculation of a geometry-optimized Nd2NbGe3Pt4 structure, from the Alexandria database.

final energy = -66.26 eV per formula unit
space group = No. 115
mass density = 11.618 g cm⁻³
total magnetic moment = 0.00 μB per formula unit
formation enthalpy at 0 K = -0.86 eV per atom

Cell: 4.287 4.287 10.728 Å, 90.00 90.00 90.00°
Atoms (fractional coordinates):
Pt (0.500, 0.500, 0.000)
Pt (0.500, 0.000, 0.637)
Pt (0.000, 0.000, 0.000)
Pt (0.000, 0.500, 0.363)
Nd (0.000, 0.500, 0.761)
Nd (0.500, 0.000, 0.239)
Ge (0.500, 0.000, 0.867)
Ge (0.000, 0.000, 0.500)
Ge (0.000, 0.500, 0.133)
Nb (0.500, 0.500, 0.500)

=====

The following is a PBE calculation of a geometry-optimized NdNbTcGe2 structure, from the Alexandria database.

final energy = -37.06 eV per formula unit
space group = No. 119
mass density = 8.148 g cm⁻³
total magnetic moment = 0.00 μB per formula unit
formation enthalpy at 0 K = -0.52 eV per atom

Cell: 4.092 4.092 6.524 Å, 108.28 108.28 90.00°
Atoms (fractional coordinates):
Ge (0.389, 0.389, 0.779)
Ge (0.611, 0.611, 0.221)
Tc (0.750, 0.250, 0.500)
Nb (0.250, 0.750, 0.500)
Nd (0.000, 0.000, 0.000)

=====

The following is a PBE calculation of a geometry-optimized NdTiNbGe2 structure, from the Alexandria database.

final energy = -35.19 eV per formula unit
space group = No. 119
mass density = 7.068 g cm⁻³
total magnetic moment = 0.00 μB per formula unit
formation enthalpy at 0 K = -0.65 eV per atom

Cell: 4.083 4.083 6.716 Å, 107.70 107.70 90.00°
Atoms (fractional coordinates):
Ge (0.607, 0.607, 0.213)
Ge (0.393, 0.393, 0.787)
Nd (0.000, 0.000, 0.000)
Nb (0.750, 0.250, 0.500)
Ti (0.250, 0.750, 0.500)

=====

The following is a PBE calculation of a geometry-optimized NbNi4Ge structure, from the Alexandria database.

final energy = -38.65 eV per formula unit
space group = No. 216
mass density = 8.763 g cm⁻³
total magnetic moment = 0.39 μB per formula unit
formation enthalpy at 0 K = -0.14 eV per atom

Cell: 4.752 4.752 4.752 Å, 60.00 60.00 60.00°
Each line ends with the local moment (μB).
Atoms (fractional coordinates):
Ni (0.625, 0.625, 0.124)  0.10
Ni (0.625, 0.124, 0.625)  0.10
Ni (0.124, 0.625, 0.625)  0.10
Ni (0.625, 0.625, 0.625)  0.10
Nb (0.000, 0.000, 0.000)  -0.01
Ge (0.250, 0.250, 0.250)  0.01